[1]
# Ac2Cd3Ni2 (GGA-PBE, relaxed)
data_Ac2Cd3Ni2
_space_group_name_H-M_alt 'C 1 2/m 1'
_space_group_IT_number 12
_cell_length_a 10.920
_cell_length_b 4.180
_cell_length_c 7.553
_cell_angle_alpha 90.00
_cell_angle_beta 94.65
_cell_angle_gamma 90.00
loop_
_space_group_symop_operation_xyz
'x,y,z'
'-x,-y,-z'
'-x,y,-z'
'x,-y,z'
'x+1/2,y+1/2,z'
'-x+1/2,-y+1/2,-z'
'-x+1/2,y+1/2,-z'
'x+1/2,-y+1/2,z'
loop_
_atom_site_label
_atom_site_type_symbol
_atom_site_fract_x
_atom_site_fract_y
_atom_site_fract_z
_atom_site_occupancy
Ac1 Ac 0.130 0.000 0.347 1
Cd1 Cd 0.000 0.500 0.000 1
Cd2 Cd 0.170 0.000 0.858 1
Ni1 Ni 0.072 0.500 0.637 1
# **DOS(E_F)**: 8.90 states/eV per cell
# **DFT formation energy**: -0.245 eV/atom


[2]
# CeAl12Zn4 (GGA-PBE, relaxed)
data_CeAl12Zn4
_space_group_name_H-M_alt 'I m -3'
_space_group_IT_number 204
_space_group_name_Hall '-I 2 2 3'
_cell_length_a 8.776
_cell_length_b 8.776
_cell_length_c 8.776
_cell_angle_alpha 90.00
_cell_angle_beta 90.00
_cell_angle_gamma 90.00
loop_
_atom_site_label
_atom_site_type_symbol
_atom_site_fract_x
_atom_site_fract_y
_atom_site_fract_z
_atom_site_occupancy
Ce1 Ce 0.000 0.000 0.000 1
Al1 Al 0.000 0.155 0.350 1
Zn1 Zn 0.250 0.250 0.250 1
# **DOS(E_F)**: 24.23 states/eV per cell
# **DFT formation energy**: 0.163 eV/atom